1.
A plane-wave DFT calculation with PBE was carried out for MoRuC2 after structural relaxation.

extended XYZ file:
```
16
Lattice="5.390 0.000 0.000 0.000 5.390 0.000 0.000 0.000 5.390" Properties=species:S:1:pos:R:3 pbc="T T T"
Mo 0.000 0.000 0.000
Mo 0.000 2.695 2.695
Mo 2.695 0.000 2.695
Mo 2.695 2.695 0.000
Ru 0.000 0.000 2.695
Ru 0.000 2.695 0.000
Ru 2.695 0.000 0.000
Ru 2.695 2.695 2.695
C 1.348 1.348 1.348
C 1.348 1.348 4.043
C 1.348 4.043 1.348
C 1.348 4.043 4.043
C 4.043 1.348 1.348
C 4.043 1.348 4.043
C 4.043 4.043 1.348
C 4.043 4.043 4.043
```

Calculated values
For the total magnetization, the calculation gives 0.00 μB per formula unit. Its relative energy among the computed polymorphs is 0.4268 eV/atom.



2.
A plane-wave DFT calculation with PBE was carried out for Dy2Hg3Rh2 after structural relaxation.

extended XYZ file:
```
14
Lattice="10.265 0.000 0.000 0.000 4.094 0.000 -0.893 0.000 7.391" Properties=species:S:1:pos:R:3 pbc="T T T"
Dy 0.919 0.000 2.690
Dy 3.321 2.047 4.701
Dy 6.051 2.047 2.690
Dy 8.453 0.000 4.701
Hg 0.000 2.047 0.000
Hg 1.354 0.000 6.311
Hg 2.886 2.047 1.080
Hg 5.132 0.000 0.000
Hg 6.486 2.047 6.311
Hg 8.018 0.000 1.080
Rh 0.353 2.047 4.747
Rh 3.887 0.000 2.644
Rh 5.485 0.000 4.747
Rh 9.019 2.047 2.644
```

Calculated values
For the total magnetization, the calculation gives 0.00 μB per formula unit.



These records have ΔH_f (0 K) values of 979 -475 meV per atom, in the order they appear.